# 1
DFT (PBE-GGA) results for a relaxed structure of Ba4LaCu.

As for the density of states at the Fermi level: 1.901 states/eV/atom. The value obtained for the formation energy from the elements is 690 meV per atom. Its electronic total energy is -2.0957 eV/atom. The value obtained for the calculated density is 4.13 g/cm³.

The space group is F-43m (No. 216) and the conventional cell measures 10.649, 10.649 and 10.649 Å, with angles of 90.00, 90.00 and 90.00 degrees. The inequivalent atoms are Ba at (0.125, 0.125, 0.125), La at (0.000, 0.000, 0.500) and Cu at (0.250, 0.250, 0.750).

# 2
DFT (PBE-GGA) results for a relaxed structure of Ca2AcMoN4.

As for the density of states at the Fermi level: 0.323 states/eV/atom. Its electronic total energy is -7.3704 eV/atom. The value obtained for the calculated density is 5.79 g/cm³.

The space group is Cmcm (No. 63) and the conventional cell measures 3.531, 12.419 and 12.014 Å, with angles of 90.00, 90.00 and 90.00 degrees. The inequivalent atoms are Ca at (0.000, 0.123, 0.035), Ac at (0.000, 0.419, 0.250), Mo at (0.000, 0.321, 0.750), N at (0.000, 0.092, 0.250), N at (0.000, 0.230, 0.631) and N at (0.000, 0.500, 0.000).

# 3
DFT (PBE-GGA) results for a relaxed structure of Li2YTm2Sn2.

As for the density of states at the Fermi level: 0.594 states/eV/atom. The value obtained for the formation energy from the elements is -439 meV per atom. Its electronic total energy is -4.3303 eV/atom. The value obtained for the calculated density is 6.58 g/cm³.

The space group is R-3m (No. 166, hexagonal axes) and the conventional cell measures 4.7654, 4.7654 and 26.1073 Å, with angles of 90.00, 90.00 and 120.00 degrees. The inequivalent atoms are Li at (0.0000, 0.0000, 0.0945), Y at (0.0000, 0.0000, 0.5000), Tm at (0.0000, 0.0000, 0.3703) and Sn at (0.0000, 0.0000, 0.2381).

# 4
DFT (PBE-GGA) results for a relaxed structure of NaLa4Os.

As for the density of states at the Fermi level: 1.211 states/eV/atom. The value obtained for the formation energy from the elements is 52 meV per atom. Its electronic total energy is -5.3248 eV/atom. The value obtained for the calculated density is 5.52 g/cm³.

The space group is C2/c (No. 15) and the conventional cell measures 9.864, 15.279 and 6.887 Å, with angles of 90.00, 117.05 and 90.00 degrees. The inequivalent atoms are Na at (0.000, 0.092, 0.250), La at (0.151, 0.289, 0.654), La at (0.185, 0.442, 0.194) and Os at (0.000, 0.417, 0.750).